Here is a crystal of MoIr2Ru relaxed with PBEsol from Alexandria. Energies are from meta-GGA SCAN.

Unit cell a=2.7086 b=4.7040 c=4.7040 alpha=109.95 beta=90.00 gamma=90.00
Last column: nearest neighbours and their distance in Å.
Fractional coordinates of all 4 atoms:
Mo: 0.5000 0.5000 0.5000  2 Ru 2.70, 2 Mo 2.71, 8 Ir 2.71
Ir: 0.0000 0.5000 0.0000  4 Ir 2.70-2.71, 4 Ru 2.71, 4 Mo 2.71
Ir: 0.0000 0.0000 0.5000  4 Ir 2.70-2.71, 4 Mo 2.71, 4 Ru 2.71
Ru: 0.5000 0.0000 0.0000  2 Mo 2.70, 2 Ru 2.71, 8 Ir 2.71

Calculated values
Density of states at the Fermi level ... 3.7 states/eV/cell
ΔH_f (0 K) ... -0.22 eV/atom
ΔE to the lowest computed polymorph ... 102.2 meV per atom